# 1
## Tl2Co3 (PBE)

Data for a geometry-optimized Tl2Co3 structure.

Geometry as CIF:
```
data_Tl2Co3
_chemical_formula_sum 'Tl2 Co3'
_cell_length_a 9.674
_cell_length_b 9.674
_cell_length_c 9.674
_cell_angle_alpha 19.29
_cell_angle_beta 19.29
_cell_angle_gamma 19.29
_space_group_name_H-M_alt 'P 1'
_space_group_IT_number 1
loop_
_space_group_symop_operation_xyz
'x,y,z'
loop_
_atom_site_label
_atom_site_type_symbol
_atom_site_fract_x
_atom_site_fract_y
_atom_site_fract_z
_atom_site_occupancy
Tl1 Tl 0.403 0.403 0.403 1
Tl2 Tl 0.597 0.597 0.597 1
Co1 Co 0.000 0.000 0.000 1
Co2 Co 0.812 0.812 0.812 1
Co3 Co 0.188 0.188 0.188 1
```

Values from the calculation:
The value obtained for the distance to the lowest polymorph of the same formula is 0.276 eV per atom.

***

# 2
## Tl7Co (PBE)

Data for a geometry-optimized Tl7Co structure.

Geometry as CIF:
```
data_Tl7Co
_chemical_formula_sum 'Tl7 Co1'
_cell_length_a 6.789
_cell_length_b 6.789
_cell_length_c 6.789
_cell_angle_alpha 60.00
_cell_angle_beta 60.00
_cell_angle_gamma 60.00
_space_group_name_H-M_alt 'P 1'
_space_group_IT_number 1
loop_
_space_group_symop_operation_xyz
'x,y,z'
loop_
_atom_site_label
_atom_site_type_symbol
_atom_site_fract_x
_atom_site_fract_y
_atom_site_fract_z
_atom_site_occupancy
Tl1 Tl 0.500 0.500 0.000 1
Tl2 Tl 0.500 0.000 0.500 1
Tl3 Tl 0.500 0.000 0.000 1
Tl4 Tl 0.000 0.000 0.500 1
Tl5 Tl 0.000 0.500 0.000 1
Tl6 Tl 0.000 0.500 0.500 1
Tl7 Tl 0.500 0.500 0.500 1
Co1 Co 0.000 0.000 0.000 1
```

***

# 3
## TlCo (PBE)

Data for a geometry-optimized TlCo structure.

Geometry as CIF:
```
data_TlCo
_chemical_formula_sum 'Tl2 Co2'
_cell_length_a 3.088
_cell_length_b 3.088
_cell_length_c 8.279
_cell_angle_alpha 90.00
_cell_angle_beta 90.00
_cell_angle_gamma 90.00
_space_group_name_H-M_alt 'P 1'
_space_group_IT_number 1
loop_
_space_group_symop_operation_xyz
'x,y,z'
loop_
_atom_site_label
_atom_site_type_symbol
_atom_site_fract_x
_atom_site_fract_y
_atom_site_fract_z
_atom_site_occupancy
Co1 Co 0.250 0.250 0.059 1
Co2 Co 0.750 0.750 0.941 1
Tl1 Tl 0.250 0.250 0.689 1
Tl2 Tl 0.750 0.750 0.311 1
```

***

# 4
## TlCo2 (PBE)

Data for a geometry-optimized TlCo2 structure.

Geometry as CIF:
```
data_TlCo2
_chemical_formula_sum 'Tl2 Co4'
_cell_length_a 4.086
_cell_length_b 4.086
_cell_length_c 6.410
_cell_angle_alpha 90.00
_cell_angle_beta 90.00
_cell_angle_gamma 120.00
_space_group_name_H-M_alt 'P 1'
_space_group_IT_number 1
loop_
_space_group_symop_operation_xyz
'x,y,z'
loop_
_atom_site_label
_atom_site_type_symbol
_atom_site_fract_x
_atom_site_fract_y
_atom_site_fract_z
_atom_site_occupancy
Tl1 Tl 0.000 0.000 0.250 1
Tl2 Tl 0.000 0.000 0.750 1
Co1 Co 0.667 0.333 0.461 1
Co2 Co 0.333 0.667 0.961 1
Co3 Co 0.333 0.667 0.539 1
Co4 Co 0.667 0.333 0.039 1
```

***

# 5
## Tl3Co5 (PBE)

Data for a geometry-optimized Tl3Co5 structure.

Geometry as CIF:
```
data_Tl3Co5
_chemical_formula_sum 'Tl6 Co10'
_cell_length_a 8.229
_cell_length_b 8.229
_cell_length_c 4.639
_cell_angle_alpha 90.00
_cell_angle_beta 90.00
_cell_angle_gamma 120.00
_space_group_name_H-M_alt 'P 1'
_space_group_IT_number 1
loop_
_space_group_symop_operation_xyz
'x,y,z'
loop_
_atom_site_label
_atom_site_type_symbol
_atom_site_fract_x
_atom_site_fract_y
_atom_site_fract_z
_atom_site_occupancy
Tl1 Tl 0.621 0.000 0.250 1
Tl2 Tl 0.379 0.000 0.750 1
Tl3 Tl 0.000 0.621 0.250 1
Tl4 Tl 0.379 0.379 0.250 1
Tl5 Tl 0.621 0.621 0.750 1
Tl6 Tl 0.000 0.379 0.750 1
Co1 Co 0.333 0.667 0.000 1
Co2 Co 0.667 0.333 0.500 1
Co3 Co 0.667 0.333 0.000 1
Co4 Co 0.333 0.667 0.500 1
Co5 Co 0.162 0.000 0.250 1
Co6 Co 0.838 0.000 0.750 1
Co7 Co 0.000 0.162 0.250 1
Co8 Co 0.838 0.838 0.250 1
Co9 Co 0.162 0.162 0.750 1
Co10 Co 0.000 0.838 0.750 1
```

Values from the calculation:
The value obtained for the distance to the lowest polymorph of the same formula is 0.098 eV per atom.

***

# 6
## TlCo (PBE)

Data for a geometry-optimized TlCo structure.

Geometry as CIF:
```
data_TlCo
_chemical_formula_sum 'Tl4 Co4'
_cell_length_a 5.188
_cell_length_b 5.188
_cell_length_c 5.188
_cell_angle_alpha 90.00
_cell_angle_beta 90.00
_cell_angle_gamma 90.00
_space_group_name_H-M_alt 'P 1'
_space_group_IT_number 1
loop_
_space_group_symop_operation_xyz
'x,y,z'
loop_
_atom_site_label
_atom_site_type_symbol
_atom_site_fract_x
_atom_site_fract_y
_atom_site_fract_z
_atom_site_occupancy
Tl1 Tl 0.409 0.909 0.591 1
Tl2 Tl 0.091 0.091 0.091 1
Tl3 Tl 0.591 0.409 0.909 1
Tl4 Tl 0.909 0.591 0.409 1
Co1 Co 0.109 0.609 0.891 1
Co2 Co 0.391 0.391 0.391 1
Co3 Co 0.891 0.109 0.609 1
Co4 Co 0.609 0.891 0.109 1
```

***

# 7
## Tl5Co (PBE)

Data for a geometry-optimized Tl5Co structure.

Geometry as CIF:
```
data_Tl5Co
_chemical_formula_sum 'Tl5 Co1'
_cell_length_a 6.089
_cell_length_b 6.089
_cell_length_c 5.962
_cell_angle_alpha 90.00
_cell_angle_beta 90.00
_cell_angle_gamma 120.00
_space_group_name_H-M_alt 'P 1'
_space_group_IT_number 1
loop_
_space_group_symop_operation_xyz
'x,y,z'
loop_
_atom_site_label
_atom_site_type_symbol
_atom_site_fract_x
_atom_site_fract_y
_atom_site_fract_z
_atom_site_occupancy
Tl1 Tl 0.333 0.667 0.000 1
Tl2 Tl 0.667 0.333 0.000 1
Tl3 Tl 0.500 0.000 0.500 1
Tl4 Tl 0.000 0.500 0.500 1
Tl5 Tl 0.500 0.500 0.500 1
Co1 Co 0.000 0.000 0.000 1
```

Values from the calculation:
The value obtained for the distance to the lowest polymorph of the same formula is 0.447 eV per atom.

***

# 8
## Tl5Co3 (PBE)

Data for a geometry-optimized Tl5Co3 structure.

Geometry as CIF:
```
data_Tl5Co3
_chemical_formula_sum 'Tl5 Co3'
_cell_length_a 7.499
_cell_length_b 7.499
_cell_length_c 3.361
_cell_angle_alpha 90.00
_cell_angle_beta 90.00
_cell_angle_gamma 100.36
_space_group_name_H-M_alt 'P 1'
_space_group_IT_number 1
loop_
_space_group_symop_operation_xyz
'x,y,z'
loop_
_atom_site_label
_atom_site_type_symbol
_atom_site_fract_x
_atom_site_fract_y
_atom_site_fract_z
_atom_site_occupancy
Tl1 Tl 0.000 0.000 0.000 1
Tl2 Tl 0.000 0.500 0.000 1
Tl3 Tl 0.500 0.000 0.000 1
Tl4 Tl 0.276 0.276 0.500 1
Tl5 Tl 0.724 0.724 0.500 1
Co1 Co 0.500 0.500 0.000 1
Co2 Co 0.653 0.347 0.500 1
Co3 Co 0.347 0.653 0.500 1
```

Values from the calculation:
The value obtained for the distance to the lowest polymorph of the same formula is 0.156 eV per atom.

***

# 9
## TlCo (PBE)

Data for a geometry-optimized TlCo structure.

Geometry as CIF:
```
data_TlCo
_chemical_formula_sum 'Tl8 Co8'
_cell_length_a 9.958
_cell_length_b 9.958
_cell_length_c 3.257
_cell_angle_alpha 90.00
_cell_angle_beta 90.00
_cell_angle_gamma 90.00
_space_group_name_H-M_alt 'P 1'
_space_group_IT_number 1
loop_
_space_group_symop_operation_xyz
'x,y,z'
loop_
_atom_site_label
_atom_site_type_symbol
_atom_site_fract_x
_atom_site_fract_y
_atom_site_fract_z
_atom_site_occupancy
Tl1 Tl 0.191 0.879 0.000 1
Tl2 Tl 0.809 0.121 0.000 1
Tl3 Tl 0.121 0.191 0.000 1
Tl4 Tl 0.879 0.809 0.000 1
Tl5 Tl 0.691 0.379 0.500 1
Tl6 Tl 0.309 0.621 0.500 1
Tl7 Tl 0.621 0.691 0.500 1
Tl8 Tl 0.379 0.309 0.500 1
Co1 Co 0.393 0.067 0.000 1
Co2 Co 0.607 0.933 0.000 1
Co3 Co 0.933 0.393 0.000 1
Co4 Co 0.067 0.607 0.000 1
Co5 Co 0.893 0.567 0.500 1
Co6 Co 0.107 0.433 0.500 1
Co7 Co 0.433 0.893 0.500 1
Co8 Co 0.567 0.107 0.500 1
```

***

# 10
## TlCo (PBE)

Data for a geometry-optimized TlCo structure.

Geometry as CIF:
```
data_TlCo
_chemical_formula_sum 'Tl2 Co2'
_cell_length_a 3.156
_cell_length_b 5.039
_cell_length_c 4.510
_cell_angle_alpha 90.00
_cell_angle_beta 90.00
_cell_angle_gamma 90.00
_space_group_name_H-M_alt 'P 1'
_space_group_IT_number 1
loop_
_space_group_symop_operation_xyz
'x,y,z'
loop_
_atom_site_label
_atom_site_type_symbol
_atom_site_fract_x
_atom_site_fract_y
_atom_site_fract_z
_atom_site_occupancy
Co1 Co 0.000 0.000 0.018 1
Co2 Co 0.500 0.500 0.815 1
Tl1 Tl 0.500 0.000 0.539 1
Tl2 Tl 0.000 0.500 0.295 1
```

***

# 11
## TlCo (PBE)

Data for a geometry-optimized TlCo structure.

Geometry as CIF:
```
data_TlCo
_chemical_formula_sum 'Tl8 Co8'
_cell_length_a 7.988
_cell_length_b 7.988
_cell_length_c 4.642
_cell_angle_alpha 90.00
_cell_angle_beta 90.00
_cell_angle_gamma 90.00
_space_group_name_H-M_alt 'P 1'
_space_group_IT_number 1
loop_
_space_group_symop_operation_xyz
'x,y,z'
loop_
_atom_site_label
_atom_site_type_symbol
_atom_site_fract_x
_atom_site_fract_y
_atom_site_fract_z
_atom_site_occupancy
Tl1 Tl 0.782 0.500 0.000 1
Tl2 Tl 0.218 0.500 0.000 1
Tl3 Tl 0.500 0.218 0.000 1
Tl4 Tl 0.500 0.782 0.000 1
Tl5 Tl 0.282 0.000 0.500 1
Tl6 Tl 0.718 0.000 0.500 1
Tl7 Tl 0.000 0.718 0.500 1
Tl8 Tl 0.000 0.282 0.500 1
Co1 Co 0.147 0.147 0.000 1
Co2 Co 0.147 0.853 0.000 1
Co3 Co 0.853 0.147 0.000 1
Co4 Co 0.853 0.853 0.000 1
Co5 Co 0.647 0.647 0.500 1
Co6 Co 0.647 0.353 0.500 1
Co7 Co 0.353 0.647 0.500 1
Co8 Co 0.353 0.353 0.500 1
```

***

# 12
## TlCo (PBE)

Data for a geometry-optimized TlCo structure.

Geometry as CIF:
```
data_TlCo
_chemical_formula_sum 'Tl16 Co16'
_cell_length_a 7.889
_cell_length_b 13.228
_cell_length_c 6.017
_cell_angle_alpha 90.00
_cell_angle_beta 90.00
_cell_angle_gamma 90.00
_space_group_name_H-M_alt 'P 1'
_space_group_IT_number 1
loop_
_space_group_symop_operation_xyz
'x,y,z'
loop_
_atom_site_label
_atom_site_type_symbol
_atom_site_fract_x
_atom_site_fract_y
_atom_site_fract_z
_atom_site_occupancy
Tl1 Tl 0.318 0.000 0.000 1
Tl2 Tl 0.682 0.000 0.000 1
Tl3 Tl 0.932 0.750 0.250 1
Tl4 Tl 0.568 0.750 0.250 1
Tl5 Tl 0.318 0.500 0.500 1
Tl6 Tl 0.682 0.500 0.500 1
Tl7 Tl 0.932 0.250 0.750 1
Tl8 Tl 0.568 0.250 0.750 1
Tl9 Tl 0.818 0.000 0.500 1
Tl10 Tl 0.182 0.000 0.500 1
Tl11 Tl 0.432 0.750 0.750 1
Tl12 Tl 0.068 0.750 0.750 1
Tl13 Tl 0.818 0.500 0.000 1
Tl14 Tl 0.182 0.500 0.000 1
Tl15 Tl 0.432 0.250 0.250 1
Tl16 Tl 0.068 0.250 0.250 1
Co1 Co 0.000 0.913 0.000 1
Co2 Co 0.000 0.087 0.000 1
Co3 Co 0.250 0.837 0.250 1
Co4 Co 0.250 0.663 0.250 1
Co5 Co 0.000 0.413 0.500 1
Co6 Co 0.000 0.587 0.500 1
Co7 Co 0.250 0.337 0.750 1
Co8 Co 0.250 0.163 0.750 1
Co9 Co 0.500 0.913 0.500 1
Co10 Co 0.500 0.087 0.500 1
Co11 Co 0.750 0.837 0.750 1
Co12 Co 0.750 0.663 0.750 1
Co13 Co 0.500 0.413 0.000 1
Co14 Co 0.500 0.587 0.000 1
Co15 Co 0.750 0.337 0.250 1
Co16 Co 0.750 0.163 0.250 1
```

***

In eV/atom, the energy of formation from the pure elements values for the records above are, in order, 0.683; 0.352; 0.417; 0.544; 0.594; 0.637; 0.709; 0.539; 0.424; 0.708; 0.493; 0.625.
In Bohr magnetons per cell, the magnetic moment values for the records above are, in order, 4.4; 1.6; 3.5; 6.0; 16.4; 4.3; 2.0; 4.8; 12.4; 2.6; 11.6; 23.3.